<one>
PBE-GGA Zr3MnBi, optimized geometry; total moment = 0.0 μB per cell
1.0
-3.514 -2.439 -2.340
0.404 -3.655 3.202
-3.356 2.114 2.837
Zr Mn Bi
3 1 1
Cartesian
-1.678 1.057 1.418
-1.757 -1.220 -1.170
0.202 -1.827 1.601
0.000 0.000 0.000
-3.233 -1.990 1.849

<two>
PBE-GGA Zr3MnBi, optimized geometry; total moment = 0.1 μB per cell
1.0
-2.475 -1.006 -4.630
0.105 -5.234 1.081
-4.737 0.410 2.443
Zr Bi Mn
3 1 1
Cartesian
0.052 -2.617 0.540
-1.238 -0.503 -2.315
-2.368 0.205 1.222
0.000 0.000 0.000
-3.554 -2.915 -0.553

Stability ranking, top and bottom: <one> is the most stable and <two> is the least stable.

<one>
PBE-GGA Zr2Mn2Bi, optimized geometry; total moment = 2.9 μB per cell
1.0
-2.476 -3.308 1.560
2.467 -0.121 3.661
-3.185 1.732 4.868
Bi Mn Zr
1 2 2
Cartesian
0.000 0.000 0.000
-2.555 -0.671 7.027
-0.640 -1.026 3.061
-0.361 -0.052 5.570
-2.833 -1.645 4.519

<two>
PBE-GGA Zr2Mn2Bi, optimized geometry; total moment = 10.0 μB per cell
1.0
7.288 0.000 0.000
0.000 7.288 0.000
0.000 0.000 3.672
Mn Zr Bi
4 4 2
Cartesian
6.402 4.531 0.000
4.531 0.886 0.000
0.886 2.758 0.000
2.758 6.402 0.000
2.401 1.243 1.836
1.243 4.887 1.836
6.046 2.401 1.836
4.887 6.046 1.836
0.000 0.000 0.000
3.644 3.644 0.000

Stability ranking, top and bottom: <two> is the most stable and <one> is the least stable.

<one>
PBE-GGA Bi3MoN, optimized geometry; total moment = 0.0 μB per cell
1.0
5.282 0.000 0.000
0.000 5.282 0.000
0.000 0.000 5.282
N Bi Mo
1 3 1
Cartesian
2.641 2.641 2.641
2.641 0.000 0.000
0.000 0.000 2.641
0.000 2.641 0.000
0.000 0.000 0.000

<two>
PBE-GGA Bi3MoN, optimized geometry; total moment = 2.9 μB per cell
1.0
4.875 0.000 0.000
0.000 4.875 0.000
0.000 0.000 4.875
N Bi Mo
1 3 1
Cartesian
0.000 0.000 0.000
0.000 0.000 2.437
2.437 0.000 0.000
0.000 2.437 0.000
2.437 2.437 2.437

Stability ranking, top and bottom: <two> is the most stable and <one> is the least stable.

<one>
PBE-GGA BiMo2N, optimized geometry; total moment = 0.0 μB per cell
1.0
-3.241 2.066 -3.579
-2.036 -4.757 -0.902
-6.505 -0.453 1.776
Mo Bi N
4 2 2
Cartesian
-3.402 0.262 -1.349
-9.179 -1.954 -2.449
-3.808 -2.506 -1.124
-7.174 -2.089 -0.489
0.000 0.000 0.000
-6.192 0.134 -2.022
-2.639 -1.346 -2.241
-5.589 -3.278 -0.683

<two>
PBE-GGA BiMo2N, optimized geometry; total moment = 2.0 μB per cell
1.0
-2.386 -2.630 2.763
-4.125 -1.350 -1.185
-0.736 -4.307 -1.072
Bi Mo N
1 2 1
Cartesian
-3.624 -4.144 0.253
-1.812 -2.072 0.126
-5.436 -6.216 0.379
0.000 0.000 0.000

Stability ranking, top and bottom: <one> is the most stable and <two> is the least stable.

<one>
PBE-GGA BiMo3N, optimized geometry; total moment = 0.0 μB per cell
1.0
5.032 0.000 0.000
0.000 5.032 0.000
0.000 0.000 5.032
Mo N Bi
3 1 1
Cartesian
0.000 0.000 2.516
0.000 2.516 0.000
2.516 0.000 0.000
2.516 2.516 2.516
0.000 0.000 0.000

<two>
PBE-GGA BiMo3N, optimized geometry; total moment = 0.0 μB per cell
1.0
4.246 0.000 0.000
0.000 4.246 0.000
0.000 0.000 4.246
Mo Bi N
3 1 1
Cartesian
0.000 2.123 0.000
0.000 0.000 2.123
2.123 0.000 0.000
2.123 2.123 2.123
0.000 0.000 0.000

Stability ranking, top and bottom: <two> is the most stable and <one> is the least stable.

<one>
PBE-GGA BiMoSN2, optimized geometry; total moment = 2.5 μB per cell
1.0
4.244 0.000 0.000
0.000 4.244 0.000
0.000 0.000 5.362
N S Mo Bi
2 1 1 1
Cartesian
2.122 0.000 0.000
0.000 2.122 0.000
0.000 0.000 2.681
2.122 2.122 2.681
0.000 0.000 0.000

<two>
PBE-GGA BiMoSN2, optimized geometry; total moment = 0.2 μB per cell
1.0
4.013 0.000 0.000
0.000 4.013 0.000
0.000 0.000 4.938
S N Bi Mo
1 2 1 1
Cartesian
0.000 0.000 2.469
2.006 0.000 0.000
0.000 2.006 0.000
2.006 2.006 2.469
0.000 0.000 0.000

Stability ranking, top and bottom: <two> is the most stable and <one> is the least stable.

<one>
PBE-GGA BiMoSe2N, optimized geometry; total moment = 0.0 μB per cell
1.0
5.194 0.000 0.000
0.000 5.194 0.000
0.000 0.000 3.814
Se Mo Bi N
2 1 1 1
Cartesian
0.000 2.597 0.000
2.597 0.000 0.000
0.000 0.000 0.000
2.597 2.597 1.907
0.000 0.000 1.907

<two>
PBE-GGA BiMoSe2N, optimized geometry; total moment = 4.7 μB per cell
1.0
5.511 0.000 0.000
0.000 5.511 0.000
0.000 0.000 4.209
Se Bi N Mo
2 1 1 1
Cartesian
2.755 0.000 0.000
0.000 2.755 0.000
0.000 0.000 0.000
0.000 0.000 2.104
2.755 2.755 2.104

Stability ranking, top and bottom: <one> is the most stable and <two> is the least stable.

<one>
PBE-GGA Na2BiMo2, optimized geometry; total moment = 0.0 μB per cell
1.0
6.948 0.000 0.000
0.000 6.948 0.000
0.000 0.000 5.360
Mo Bi Na
4 2 4
Cartesian
6.194 4.229 0.000
0.755 2.720 0.000
4.229 0.755 0.000
2.720 6.194 0.000
3.474 3.474 0.000
0.000 0.000 0.000
4.693 5.730 2.680
2.256 1.218 2.680
1.218 4.693 2.680
5.730 2.256 2.680

<two>
PBE-GGA Na2BiMo2, optimized geometry; total moment = 0.0 μB per cell
1.0
-2.645 -0.597 -3.088
-0.034 -4.029 0.809
-7.004 -1.329 3.522
Na Mo Bi
2 2 1
Cartesian
-4.189 -3.835 1.596
-5.494 -2.119 -0.352
-7.525 -3.784 1.709
-2.158 -2.171 -0.466
0.000 0.000 0.000

Stability ranking, top and bottom: <one> is the most stable and <two> is the least stable.

<one>
PBE-GGA NbBi2Mo, optimized geometry; total moment = 0.0 μB per cell
1.0
-1.285 -4.761 -0.757
0.691 -3.374 3.609
-3.928 -1.934 2.392
Bi Mo Nb
2 1 1
Cartesian
-3.391 -7.552 3.933
0.000 0.000 0.000
-2.261 -5.035 2.622
-1.130 -2.517 1.311

<two>
PBE-GGA NbBi2Mo, optimized geometry; total moment = 1.2 μB per cell
1.0
4.838 -0.731 -0.538
1.780 -4.580 -0.288
1.774 -1.687 -4.270
Bi Nb Mo
2 1 1
Cartesian
6.294 -5.248 -3.822
2.098 -1.749 -1.274
0.000 0.000 0.000
4.196 -3.499 -2.548

<three>
PBE-GGA NbBi2Mo, optimized geometry; total moment = 10.0 μB per cell
1.0
-6.377 -0.686 -1.330
0.015 -5.851 2.945
-4.652 -0.453 6.409
Nb Mo Bi
2 2 4
Cartesian
-3.909 -4.787 5.081
-3.181 -3.269 0.807
-7.105 -2.204 2.943
0.000 0.000 0.000
-5.875 -2.759 5.396
-9.056 -6.093 6.236
-5.182 -1.277 1.132
-1.915 -3.852 3.284

Stability ranking, top and bottom: <two> is the most stable and <three> is the least stable.